First-principles (PBE) data for an optimized crystal structure of CuHgSe2, as listed in Alexandria via LeMat-Bulk.

a b c (Å): 5.542 7.860 4.794
angles (deg): 90.00 124.92 90.00
Space group C2/m (No. 12)
Unique sites:
Cu1 0.000 0.000 0.000 (multiplicity 2)
Hg1 0.000 0.500 0.000 (multiplicity 2)
Se1 0.250 0.250 0.500 (multiplicity 4)

## Properties
The calculation puts the calculated total energy at -2.69 eV per atom. The formation energy from raw total energies is 151 meV/atom.